Record 1
This record from the Alexandria database describes crystalline FeHI2N at its relaxed geometry. The functional is PBE.

Results
energy above the most stable polymorph in this dataset = 0.863 eV per atom
size of the total moment = 0.6 μB/f.u.

Geometry as POSCAR:
```
FeHI2N
1.0
5.091 0.000 0.000
0.000 5.091 0.000
0.000 0.000 2.961
Fe H I N
1 1 2 1
direct
0.000 0.000 0.000
0.500 0.500 0.500
0.000 0.500 0.500
0.500 0.000 0.500
0.500 0.500 0.000
```

***

Record 2
This record from the Alexandria database describes crystalline SrLiNi at its relaxed geometry. The functional is PBE.

Results
energy of formation = 0.128 eV per atom
energy above the most stable polymorph in this dataset = 0.128 eV per atom
size of the total moment = 0.0 μB/f.u.

Geometry as POSCAR:
```
SrLiNi
1.0
4.391 0.000 0.000
-2.196 3.803 0.000
0.000 0.000 4.175
Sr Li Ni
1 1 1
direct
0.000 0.000 0.000
0.667 0.333 0.501
0.333 0.667 0.498
```

***

Record 3
This record from the Alexandria database describes crystalline ScMo2S at its relaxed geometry. The functional is PBE.

Results
raw formation energy = -6 kJ/mol of formula units
size of the total moment = 0.0 μB/f.u.

Geometry as POSCAR:
```
ScMo2S
1.0
-1.824 1.824 10.525
1.824 -1.824 10.525
1.824 1.824 -10.525
Sc Mo S
2 4 2
direct
0.000 0.000 0.000
0.750 0.250 0.500
0.133 0.625 0.008
0.375 0.383 0.508
0.617 0.125 0.992
0.875 0.867 0.492
0.250 0.750 0.500
0.500 0.500 0.000
```

***

Record 4
This record from the Alexandria database describes crystalline ZnGeB3 at its relaxed geometry. The functional is PBE.

Results
energy of formation = 1.928 eV per atom
energy above the most stable polymorph in this dataset = 0.044 eV per atom
size of the total moment = 0.0 μB/f.u.

Geometry as POSCAR:
```
ZnGeB3
1.0
4.083 0.000 0.000
0.000 4.083 0.000
0.000 0.000 4.083
Zn Ge B
1 1 3
direct
0.000 0.000 0.000
0.500 0.500 0.500
0.000 0.000 0.500
0.000 0.500 0.000
0.500 0.000 0.000
```